DFT (PBE) results for a relaxed structure of Mn3Ge5Se12.

The volume is 24.24 Å³/atom. As for the formation energy from raw total energies: -12.4 kJ/mol of atoms. As for the total energy: -4.7491 eV per atom.

The space group is Ia-3d (No. 230) and the conventional cell measures 15.712, 15.712 and 15.712 Å, with angles of 90.00, 90.00 and 90.00 degrees. The distinct sites, in fractional coordinates, are Mn at (0.000, 0.250, 0.125), Ge at (0.000, 0.000, 0.000), Ge at (0.000, 0.250, 0.375) and Se at (0.022, 0.064, 0.655).